The following is a DFT calculation (PBE) of Ba2TeSe3 after structural relaxation.

a b c (Å): 4.4007 5.4830 9.2923
angles (deg): 107.16 103.70 90.00
Last column: nearest neighbours and their distance in Å.
Fractional positions:
Ba  0.3543  0.3543  0.7086  7 Se 3.26-3.53
Se  0.0000  0.5000  0.0000  2 Te 2.74
Ba  0.6457  0.6457  0.2914  7 Se 3.26-3.53
Se  0.1648  0.1648  0.3296  1 Te 2.84
Te  0.0000  0.0000  0.0000  4 Se 2.74-2.84
Se  0.8352  0.8352  0.6704  1 Te 2.84

## Properties
Its calculated density is 5.1 g/cm3. The calculation puts the total magnetization at 0.0 μB per formula unit. The formation energy from raw total energies comes out at -1.352 eV per atom. The density of states at the Fermi level is 0.96 states/eV per cell.